This record from Alexandria via LeMat-Bulk describes a relaxed structure of TaOs4Ru. The functional is PBE.

a = 7.1457 Å, b = 4.7969 Å, c = 5.2226 Å
α = 90.00°, β = 96.61°, γ = 90.00°
Closest atoms and distances in Å follow each position.
Space group P2/c (No. 13)
Unique sites:
Ta 0.0000 0.0915 0.2500 (multiplicity 2)  10 Os 2.74-2.83, 2 Ta 2.75
Os 0.1742 0.4189 0.9113 (multiplicity 4)  2 Ru 2.68-2.76, 7 Os 2.69-2.86, 3 Ta 2.74-2.83
Os 0.3368 0.0883 0.5850 (multiplicity 4)  7 Os 2.69-2.80, 3 Ru 2.72-2.79, 2 Ta 2.78-2.81
Ru 0.5000 0.4180 0.2500 (multiplicity 2)  10 Os 2.68-2.79, 2 Ru 2.73

Summary:
- calculated formation energy (eV/atom) = -0.0429
- V (Å³/atom) = 14.82
- offset from the most stable computed form (meV per atom) = 9
- ρ (g/cm³) = 19.48
- M_tot (μB per cell) = 0.000